Entry 1:
This record from Alexandria via LeMat-Bulk describes a geometry-optimized Ba2MnHgPd structure. The functional is PBE.

extended XYZ file:
```
5
Lattice="6.0620 0.0000 0.0000 0.0000 6.0620 0.0000 0.0000 0.0000 5.2951" Properties=species:S:1:pos:R:3 pbc="T T T"
Ba 0.0000 3.0310 0.0000
Ba 3.0310 0.0000 0.0000
Mn 0.0000 0.0000 2.6476
Hg 3.0310 3.0310 2.6476
Pd 3.0310 3.0310 0.0000
```

Calculated values
Magnetization = 4.47 μB per formula unit
E_tot = -17.84 eV/cell
ΔE_f = 0.135 eV per atom
Space group = P4/mmm (123)

Entry 2:
This record from Alexandria via LeMat-Bulk describes a geometry-optimized Tb5CeEr8 structure. The functional is PBE.

extended XYZ file:
```
14
Lattice="-4.7111 4.7111 5.0617 4.7111 -4.7111 5.0617 4.7111 4.7111 -5.0617" Properties=species:S:1:pos:R:3 pbc="T T T"
Tb 0.0000 0.0000 0.0000
Tb 3.6565 2.7203 -0.7743
Tb 1.9908 -1.0546 5.8361
Tb 1.0546 1.9908 4.2874
Tb 2.7203 5.7657 0.7743
Ce 4.7111 0.0000 2.5309
Er 1.6652 -0.8125 2.5134
Er 3.0459 5.5236 -2.5484
Er 0.6750 3.0427 0.9972
Er 3.8985 3.0459 2.5484
Er -0.6750 6.3795 0.9972
Er -1.6684 4.0361 4.0646
Er 0.8125 1.6652 7.6101
Er 1.6684 5.3861 4.0646
```

Calculated values
Magnetization = 1.60 μB per formula unit
E_tot = -61.83 eV/cell
ΔE_f = 0.268 eV per atom
Space group = I-4 (82)